1.
DFT (PBE) results for crystalline Sb2MoWI at its relaxed geometry.

## Properties
crystal system = tetragonal
size of the total moment = 5.48 μB per formula unit
mass density = 6.9 g/cm³
offset from the most stable computed form = 0 meV per atom
uncorrected formation energy = 1.42 eV per atom

abc: 5.194 5.194 5.803
angles: 90.00 90.00 90.00
Atoms (fractional coordinates):
Sb1 0.000 0.500 0.000
Sb2 0.500 0.000 0.000
Mo1 0.000 0.000 0.500
W1 0.500 0.500 0.000
I1 0.500 0.500 0.500

2.
DFT (PBE) results for crystalline YSb2MoI at its relaxed geometry.

## Properties
crystal system = tetragonal
size of the total moment = 3.98 μB per formula unit
mass density = 4.6 g/cm³
offset from the most stable computed form = 548 meV per atom
uncorrected formation energy = 0.88 eV per atom

abc: 5.839 5.839 5.826
angles: 90.00 90.00 90.00
Atoms (fractional coordinates):
Y1 0.000 0.000 0.000
Sb1 0.000 0.500 0.000
Sb2 0.500 0.000 0.000
Mo1 0.500 0.500 0.500
I1 0.000 0.000 0.500

3.
DFT (PBE) results for crystalline YSbMo2I at its relaxed geometry.

## Properties
crystal system = tetragonal
size of the total moment = 0.00 μB per formula unit
mass density = 6.1 g/cm³
uncorrected formation energy = 1.26 eV per atom

abc: 5.004 5.004 5.746
angles: 90.00 90.00 90.00
Atoms (fractional coordinates):
Y1 0.000 0.000 0.000
Sb1 0.000 0.000 0.500
Mo1 0.000 0.500 0.500
Mo2 0.500 0.000 0.500
I1 0.500 0.500 0.000

4.
DFT (PBE) results for crystalline YSb2MoI at its relaxed geometry.

## Properties
crystal system = tetragonal
size of the total moment = 0.57 μB per formula unit
mass density = 6.0 g/cm³
offset from the most stable computed form = 0 meV per atom
uncorrected formation energy = 0.33 eV per atom

abc: 5.193 5.193 5.688
angles: 90.00 90.00 90.00
Atoms (fractional coordinates):
Y1 0.000 0.000 0.000
Sb1 0.000 0.500 0.500
Sb2 0.500 0.000 0.500
Mo1 0.500 0.500 0.500
I1 0.500 0.500 0.000